Pu2TaReN6: optimized geometry, PBE.

abc: 5.426 5.731 9.517
angles: 90.00 124.69 90.00
Space group P2_1/c (No. 14)
Symmetry-distinct sites (fractional):
Pu: 0.234 0.066 0.247 [4 per cell]
Ta: 0.000 0.000 0.500 [2 per cell]
Re: 0.500 0.000 0.000 [2 per cell]
N: 0.142 0.192 0.950 [4 per cell]
N: 0.261 0.701 0.946 [4 per cell]
N: 0.355 0.034 0.753 [4 per cell]

Output
V	243.3	Å³ per cell
Fermi-level density of states	1.258	states/eV/atom
formation energy from raw total energies	-0.8292	eV/atom
calculated total energy	-11.121	eV/atom